{
  "formula": "K6Sr2Ni5P10O35",
  "functional": "GGA+U",
  "state": "relaxed",
  "e_tot_ev_per_cell": -756.744,
  "dos_ef_per_ev_atom": 0.000,
  "lattice": [[7.5384, 0.0000, 0.0000], [2.0048, 11.0715, 0.0000], [0.1111, 0.0390, 19.8027]],
  "species": ["K", "K", "K", "K", "K", "K", "K", "K", "K", "K", "K", "K", "Sr", "Sr", "Sr", "Sr", "Ni", "Ni", "Ni", "Ni", "Ni", "Ni", "Ni", "Ni", "Ni", "Ni", "P", "P", "P", "P", "P", "P", "P", "P", "P", "P", "P", "P", "P", "P", "P", "P", "P", "P", "P", "P", "O", "O", "O", "O", "O", "O", "O", "O", "O", "O", "O", "O", "O", "O", "O", "O", "O", "O", "O", "O", "O", "O", "O", "O", "O", "O", "O", "O", "O", "O", "O", "O", "O", "O", "O", "O", "O", "O", "O", "O", "O", "O", "O", "O", "O", "O", "O", "O", "O", "O", "O", "O", "O", "O", "O", "O", "O", "O", "O", "O", "O", "O", "O", "O", "O", "O", "O", "O", "O", "O"],
  "fractional_positions": [[0.0391, 0.2979, 0.3962], [0.0899, 0.7173, 0.1948], [0.1117, 0.6467, 0.4065], [0.4017, 0.2743, 0.6924], [0.4049, 0.3502, 0.9095], [0.4428, 0.7120, 0.9012], [0.5572, 0.2880, 0.0988], [0.5951, 0.6498, 0.0905], [0.5983, 0.7257, 0.3076], [0.8883, 0.3533, 0.5935], [0.9101, 0.2827, 0.8052], [0.9609, 0.7021, 0.6038], [0.0686, 0.1295, 0.2096], [0.4256, 0.8785, 0.7106], [0.5744, 0.1215, 0.2894], [0.9314, 0.8705, 0.7904], [0.0000, 0.0000, 0.5000], [0.0243, 0.4312, 0.1322], [0.1471, 0.9126, 0.0352], [0.3500, 0.0872, 0.5355], [0.4606, 0.5722, 0.6293], [0.5000, 0.0000, 0.0000], [0.5394, 0.4278, 0.3707], [0.6500, 0.9128, 0.4645], [0.8529, 0.0874, 0.9648], [0.9757, 0.5688, 0.8678], [0.0460, 0.0796, 0.6561], [0.1372, 0.6253, 0.0146], [0.1695, 0.2068, 0.0353], [0.2167, 0.9974, 0.8773], [0.2354, 0.5423, 0.7701], [0.2829, 0.0103, 0.3769], [0.3283, 0.7945, 0.5328], [0.3588, 0.3742, 0.5125], [0.3772, 0.4560, 0.2505], [0.4474, 0.9188, 0.1564], [0.5526, 0.0812, 0.8436], [0.6228, 0.5440, 0.7495], [0.6412, 0.6258, 0.4875], [0.6717, 0.2055, 0.4672], [0.7171, 0.9897, 0.6231], [0.7645, 0.4577, 0.2299], [0.7833, 0.0026, 0.1227], [0.8305, 0.7932, 0.9647], [0.8628, 0.3747, 0.9854], [0.9540, 0.9204, 0.3439], [0.0197, 0.0637, 0.8772], [0.0595, 0.1042, 0.0298], [0.0747, 0.1982, 0.6857], [0.0774, 0.3121, 0.9834], [0.1000, 0.9685, 0.7010], [0.1222, 0.6617, 0.7956], [0.1262, 0.0553, 0.5842], [0.1371, 0.8234, 0.5059], [0.1578, 0.2604, 0.1070], [0.1587, 0.5296, 0.0696], [0.1675, 0.4390, 0.8076], [0.1741, 0.9045, 0.3538], [0.1783, 0.5765, 0.9425], [0.2069, 0.0559, 0.4465], [0.2216, 0.4625, 0.2026], [0.2432, 0.7264, 0.0312], [0.2483, 0.1139, 0.3256], [0.2483, 0.8941, 0.8261], [0.2489, 0.5337, 0.6934], [0.2539, 0.2746, 0.5337], [0.2916, 0.9502, 0.9467], [0.3227, 0.4143, 0.4384], [0.3310, 0.1001, 0.8531], [0.3340, 0.4778, 0.5626], [0.3339, 0.7439, 0.6051], [0.3619, 0.5575, 0.3035], [0.3628, 0.1759, 0.0101], [0.3731, 0.9398, 0.0836], [0.3935, 0.0325, 0.1992], [0.4151, 0.8023, 0.1879], [0.4262, 0.6876, 0.4826], [0.4310, 0.3350, 0.2883], [0.4381, 0.8970, 0.5264], [0.4450, 0.5342, 0.7985], [0.4817, 0.9466, 0.3756], [0.5183, 0.0534, 0.6244], [0.5550, 0.4658, 0.2015], [0.5619, 0.1030, 0.4736], [0.5690, 0.6650, 0.7117], [0.5738, 0.3124, 0.5174], [0.5849, 0.1977, 0.8121], [0.6065, 0.9675, 0.8008], [0.6269, 0.0602, 0.9164], [0.6372, 0.8241, 0.9899], [0.6381, 0.4425, 0.6965], [0.6661, 0.2561, 0.3949], [0.6660, 0.5222, 0.4374], [0.6690, 0.8999, 0.1469], [0.6773, 0.5857, 0.5616], [0.7084, 0.0498, 0.0533], [0.7461, 0.7254, 0.4663], [0.7511, 0.4663, 0.3066], [0.7517, 0.1059, 0.1739], [0.7517, 0.8861, 0.6744], [0.7568, 0.2736, 0.9688], [0.7784, 0.5375, 0.7974], [0.7931, 0.9441, 0.5535], [0.8217, 0.4235, 0.0575], [0.8259, 0.0955, 0.6462], [0.8325, 0.5610, 0.1924], [0.8413, 0.4704, 0.9304], [0.8422, 0.7396, 0.8930], [0.8629, 0.1766, 0.4941], [0.8738, 0.9447, 0.4158], [0.8778, 0.3383, 0.2044], [0.9000, 0.0315, 0.2990], [0.9226, 0.6879, 0.0166], [0.9253, 0.8018, 0.3143], [0.9405, 0.8958, 0.9702], [0.9803, 0.9363, 0.1228]]
}